1.
The following is a GGA-PBE calculation of a relaxed TeAs crystal, from Alexandria via LeMat-Bulk.

* formation energy from raw total energies: 0.201 eV/atom
* space-group type: P6_3/mmc (194)

Cell: 4.025 4.025 7.529 Å, 90.00 90.00 120.00°
Fractional coordinates of all 4 atoms:
Te (0.667, 0.333, 0.750)
Te (0.333, 0.667, 0.250)
As (0.000, 0.000, 0.500)
As (0.000, 0.000, 0.000)



2.
The following is a GGA-PBE calculation of a relaxed OsRu3S crystal, from Alexandria via LeMat-Bulk.

* formation energy from raw total energies: 0.984 eV/atom
* space-group type: Pm-3m (221)

Cell: 4.273 4.273 4.273 Å, 90.00 90.00 90.00°
Fractional coordinates of all 5 atoms:
Ru (0.500, 0.000, 0.000)
Ru (0.000, 0.500, 0.000)
Ru (0.000, 0.000, 0.500)
Os (0.500, 0.500, 0.500)
S (0.000, 0.000, 0.000)



3.
The following is a GGA-PBE calculation of a relaxed Ga2CuHgSe4 crystal, from Alexandria via LeMat-Bulk.

* formation energy from raw total energies: -0.355 eV/atom
* space-group type: Fmm2 (42)

Cell: 5.982 5.982 7.123 Å, 113.78 113.78 92.29°
Fractional coordinates of all 8 atoms:
Se (0.601, 0.601, 0.738)
Se (0.855, 0.395, 0.250)
Se (0.138, 0.138, 0.738)
Se (0.395, 0.855, 0.250)
Ga (0.254, 0.754, 0.507)
Ga (0.754, 0.254, 0.507)
Hg (0.004, 0.004, 0.009)
Cu (0.500, 0.500, 0.000)



Copy entry 3 word for word.
The following is a GGA-PBE calculation of a relaxed Ga2CuHgSe4 crystal, from Alexandria via LeMat-Bulk.

* formation energy from raw total energies: -0.355 eV/atom
* space-group type: Fmm2 (42)

Cell: 5.982 5.982 7.123 Å, 113.78 113.78 92.29°
Fractional coordinates of all 8 atoms:
Se (0.601, 0.601, 0.738)
Se (0.855, 0.395, 0.250)
Se (0.138, 0.138, 0.738)
Se (0.395, 0.855, 0.250)
Ga (0.254, 0.754, 0.507)
Ga (0.754, 0.254, 0.507)
Hg (0.004, 0.004, 0.009)
Cu (0.500, 0.500, 0.000)